[1]
{
  "formula": "RbScC2",
  "functional": "PBE-GGA",
  "state": "optimized geometry",
  "lattice_angstrom": [[4.9166, 0.0000, 0.0000], [0.0000, 4.9166, 0.0000], [2.4583, 2.4583, 7.3311]],
  "species": ["Sc", "Sc", "C", "C", "C", "C", "Rb", "Rb"],
  "frac_coords": [[0.5000, 0.5000, 0.0000], [0.2500, 0.7500, 0.5000], [0.3752, 0.1250, 0.2500], [0.3748, 0.6250, 0.2500], [0.3750, 0.6248, 0.7500], [0.8750, 0.6252, 0.7500], [0.0000, 0.0000, 0.0000], [0.7500, 0.2500, 0.5000]],
  "formation_energy_ev_per_atom": 1.418,
  "crystal_system": "tetragonal"
}

[2]
{
  "formula": "RbScC3",
  "functional": "PBE-GGA",
  "state": "optimized geometry",
  "lattice_angstrom": [[-2.0589, -3.3422, -2.1471], [1.8280, -2.9442, 2.8301], [-3.5268, 0.4250, 2.7203]],
  "species": ["Sc", "C", "C", "C", "Rb"],
  "frac_coords": [[0.0000, 0.0000, 0.0000], [0.0000, 0.5000, 0.0000], [0.0000, 0.0000, 0.5000], [0.5000, 0.0000, 0.0000], [0.5000, 0.5000, 0.5000]],
  "formation_energy_ev_per_atom": 2.100,
  "crystal_system": "cubic"
}

[3]
{
  "formula": "Rb3ScC",
  "functional": "PBE-GGA",
  "state": "optimized geometry",
  "lattice_angstrom": [[6.1515, 0.0000, 0.0000], [0.0000, 6.1515, 0.0000], [0.0000, 0.0000, 6.1515]],
  "species": ["Sc", "C", "Rb", "Rb", "Rb"],
  "frac_coords": [[0.5000, 0.5000, 0.5000], [0.0000, 0.0000, 0.0000], [0.0000, 0.5000, 0.0000], [0.0000, 0.0000, 0.5000], [0.5000, 0.0000, 0.0000]],
  "formation_energy_ev_per_atom": 1.511,
  "crystal_system": "cubic"
}

[4]
{
  "formula": "RbC2Se2",
  "functional": "PBE-GGA",
  "state": "optimized geometry",
  "lattice_angstrom": [[-7.9994, -3.3281, 1.4601], [3.2352, -8.1292, -0.8050], [0.6128, -0.0723, 3.1926]],
  "species": ["C", "C", "C", "C", "Se", "Se", "Se", "Se", "Rb", "Rb"],
  "frac_coords": [[0.0553, 0.5553, 0.5000], [0.5553, 0.9447, 0.5000], [0.9447, 0.4447, 0.5000], [0.4447, 0.0553, 0.5000], [0.3620, 0.8620, 0.0000], [0.8620, 0.6380, 0.0000], [0.6380, 0.1380, 0.0000], [0.1380, 0.3620, 0.0000], [0.0000, 0.0000, 0.0000], [0.5000, 0.5000, 0.0000]],
  "e_form_raw_ev_per_atom": 1.12,
  "crystal_system": "tetragonal"
}

[5]
{
  "formula": "Rb2CSe",
  "functional": "PBE-GGA",
  "state": "optimized geometry",
  "lattice_angstrom": [[6.6132, 0.0000, 0.0000], [0.0000, 6.6132, 0.0000], [3.3066, 3.3066, 9.0235]],
  "species": ["C", "C", "Se", "Se", "Rb", "Rb", "Rb", "Rb"],
  "frac_coords": [[0.5000, 0.5000, 0.0000], [0.2500, 0.7500, 0.5000], [0.0000, 0.0000, 0.0000], [0.7500, 0.2500, 0.5000], [0.5995, 0.1250, 0.2500], [0.1505, 0.6250, 0.2500], [0.3750, 0.4005, 0.7500], [0.8750, 0.8495, 0.7500]],
  "e_form_raw_ev_per_atom": 1.02,
  "crystal_system": "tetragonal"
}

[6]
{
  "formula": "RbC2Se2",
  "functional": "PBE-GGA",
  "state": "optimized geometry",
  "lattice_angstrom": [[-1.0064, -3.5569, 1.6233], [-1.3603, -1.2530, -3.5887], [4.0651, -4.4690, -2.2515]],
  "species": ["C", "C", "Se", "Se", "Rb"],
  "frac_coords": [[0.7500, 0.2500, 0.5000], [0.2500, 0.7500, 0.5000], [0.3122, 0.3122, 0.3755], [0.6878, 0.6878, 0.6245], [0.0000, 0.0000, 0.0000]],
  "e_form_raw_ev_per_atom": 1.04,
  "crystal_system": "tetragonal"
}

[7]
{
  "formula": "RbC2Se",
  "functional": "PBE-GGA",
  "state": "optimized geometry",
  "lattice_angstrom": [[-5.4655, -1.5259, -2.6921], [2.7665, -4.8576, -2.8632], [-2.1977, -5.4413, 0.2192]],
  "species": ["C", "C", "C", "C", "Se", "Se", "Rb", "Rb"],
  "frac_coords": [[0.4961, 0.1250, 0.2500], [0.2539, 0.6250, 0.2500], [0.3750, 0.5039, 0.7500], [0.8750, 0.7461, 0.7500], [0.5000, 0.5000, 0.0000], [0.2500, 0.7500, 0.5000], [0.0000, 0.0000, 0.0000], [0.7500, 0.2500, 0.5000]],
  "e_form_raw_ev_per_atom": 1.75,
  "crystal_system": "tetragonal"
}

[8]
{
  "formula": "RbCSe2",
  "functional": "PBE-GGA",
  "state": "optimized geometry",
  "lattice_angstrom": [[1.9858, 0.0000, 9.0036], [-0.9929, 1.7197, 9.0036], [-0.9929, -1.7197, 9.0036]],
  "species": ["C", "Se", "Se", "Rb"],
  "frac_coords": [[0.5000, 0.5000, 0.5000], [0.8826, 0.8826, 0.8826], [0.1174, 0.1174, 0.1174], [0.0000, 0.0000, 0.0000]],
  "e_form_raw_ev_per_atom": 1.13,
  "crystal_system": "trigonal"
}

[9]
{
  "formula": "RbCSe2",
  "functional": "PBE-GGA",
  "state": "optimized geometry",
  "lattice_angstrom": [[-5.5901, -1.2179, 3.9207], [1.6388, -6.7349, 0.2446], [0.3379, -3.2859, 5.5957]],
  "species": ["C", "C", "Se", "Se", "Se", "Se", "Rb", "Rb"],
  "frac_coords": [[0.5000, 0.5000, 0.0000], [0.2500, 0.7500, 0.5000], [0.4709, 0.1250, 0.2500], [0.2791, 0.6250, 0.2500], [0.3750, 0.5291, 0.7500], [0.8750, 0.7209, 0.7500], [0.0000, 0.0000, 0.0000], [0.7500, 0.2500, 0.5000]],
  "e_form_raw_ev_per_atom": 0.38,
  "crystal_system": "tetragonal"
}

[10]
{
  "formula": "Rb2CSe",
  "functional": "PBE-GGA",
  "state": "optimized geometry",
  "lattice_angstrom": [[0.0000, 4.0341, 4.0341], [4.0341, 0.0000, 4.0341], [4.0341, 4.0341, 0.0000]],
  "species": ["C", "Se", "Rb", "Rb"],
  "frac_coords": [[0.0000, 0.0000, 0.0000], [0.5000, 0.5000, 0.5000], [0.2500, 0.2500, 0.2500], [0.7500, 0.7500, 0.7500]],
  "e_form_raw_ev_per_atom": 0.85,
  "crystal_system": "cubic"
}

[11]
{
  "formula": "RbCSe2",
  "functional": "PBE-GGA",
  "state": "optimized geometry",
  "lattice_angstrom": [[4.5714, -4.0005, 2.7735], [6.6412, 0.6674, -0.2062], [4.0978, 1.4237, 5.0769]],
  "species": ["C", "Se", "Se", "Rb"],
  "frac_coords": [[0.0000, 0.0000, 0.0000], [0.8977, 0.8977, 0.8977], [0.1023, 0.1023, 0.1023], [0.5000, 0.5000, 0.5000]],
  "e_form_raw_ev_per_atom": 0.25,
  "crystal_system": "trigonal"
}

[12]
{
  "formula": "Rb2SiCSe",
  "functional": "PBE-GGA",
  "state": "optimized geometry",
  "lattice_angstrom": [[-1.7930, -2.2748, -5.7726], [-3.0168, -1.8968, 1.6845], [-3.7501, 5.1844, -0.8783]],
  "species": ["C", "Si", "Se", "Rb", "Rb"],
  "frac_coords": [[0.0000, 0.0000, 0.0000], [0.5000, 0.5000, 0.5000], [0.0000, 0.5000, 0.0000], [0.0000, 0.0000, 0.5000], [0.5000, 0.0000, 0.0000]],
  "e_form_raw_ev_per_atom": 0.89,
  "crystal_system": "tetragonal"
}

[13]
{
  "formula": "RbSnCSe2",
  "functional": "PBE-GGA",
  "state": "optimized geometry",
  "lattice_angstrom": [[5.5351, 0.0000, 0.0000], [0.0000, 4.4508, 0.0000], [0.0000, 0.0000, 5.5351]],
  "species": ["C", "Se", "Se", "Sn", "Rb"],
  "frac_coords": [[0.0000, 0.5000, 0.0000], [0.0000, 0.0000, 0.5000], [0.5000, 0.0000, 0.0000], [0.0000, 0.0000, 0.0000], [0.5000, 0.5000, 0.5000]],
  "e_form_raw_ev_per_atom": 0.59,
  "crystal_system": "tetragonal"
}

[14]
{
  "formula": "Rb2YCSe",
  "functional": "PBE-GGA",
  "state": "optimized geometry",
  "lattice_angstrom": [[6.9165, 0.0000, 0.0000], [0.0000, 4.1209, 0.0000], [0.0000, 0.0000, 6.9165]],
  "species": ["Y", "C", "Se", "Rb", "Rb"],
  "frac_coords": [[0.0000, 0.0000, 0.0000], [0.0000, 0.5000, 0.0000], [0.5000, 0.5000, 0.5000], [0.0000, 0.0000, 0.5000], [0.5000, 0.0000, 0.0000]],
  "e_form_raw_ev_per_atom": 0.68,
  "crystal_system": "tetragonal"
}

[15]
{
  "formula": "Rb2SiC",
  "functional": "PBE-GGA",
  "state": "optimized geometry",
  "lattice_angstrom": [[-0.7653, -5.4775, 0.2926], [-4.9945, -2.0349, 1.2604], [-2.9938, -2.5887, -3.8743]],
  "species": ["Si", "C", "Rb", "Rb"],
  "frac_coords": [[0.5000, 0.5000, 0.5000], [0.0000, 0.0000, 0.0000], [0.2500, 0.2500, 0.2500], [0.7500, 0.7500, 0.7500]],
  "e_form_raw_ev_per_atom": 1.86,
  "crystal_system": "cubic"
}

[16]
{
  "formula": "Rb2SiC",
  "functional": "PBE-GGA",
  "state": "optimized geometry",
  "lattice_angstrom": [[-7.9986, -5.1861, -8.4911], [-7.6845, -3.7004, 9.4988], [-8.7397, -2.8711, 0.3897]],
  "species": ["Si", "Si", "C", "C", "Rb", "Rb", "Rb", "Rb"],
  "frac_coords": [[0.0000, 0.0000, 0.0000], [0.7500, 0.2500, 0.5000], [0.5000, 0.5000, 0.0000], [0.2500, 0.7500, 0.5000], [0.4049, 0.1250, 0.2500], [0.3451, 0.6250, 0.2500], [0.3750, 0.5951, 0.7500], [0.8750, 0.6549, 0.7500]],
  "e_form_raw_ev_per_atom": 0.62,
  "crystal_system": "tetragonal"
}

[17]
{
  "formula": "RbSi2C",
  "functional": "PBE-GGA",
  "state": "optimized geometry",
  "lattice_angstrom": [[6.3884, 0.0000, 0.0000], [0.0000, 6.3884, 0.0000], [3.1942, 3.1942, 4.4225]],
  "species": ["Si", "Si", "Si", "Si", "C", "C", "Rb", "Rb"],
  "frac_coords": [[0.4599, 0.1250, 0.2500], [0.2901, 0.6250, 0.2500], [0.3750, 0.5401, 0.7500], [0.8750, 0.7099, 0.7500], [0.5000, 0.5000, 0.0000], [0.2500, 0.7500, 0.5000], [0.0000, 0.0000, 0.0000], [0.7500, 0.2500, 0.5000]],
  "e_form_raw_ev_per_atom": 0.96,
  "crystal_system": "tetragonal"
}

[18]
{
  "formula": "RbSm2C",
  "functional": "PBE-GGA",
  "state": "optimized geometry",
  "lattice_angstrom": [[3.7267, 0.0000, 0.0000], [1.8634, 3.2274, 0.0000], [1.8634, 1.0758, 11.0965]],
  "species": ["C", "Rb", "Sm", "Sm"],
  "frac_coords": [[0.5000, 0.5000, 0.5000], [0.0000, 0.0000, 0.0000], [0.1256, 0.1256, 0.6233], [0.8744, 0.8744, 0.3767]],
  "formation_energy_ev_per_atom": 0.072,
  "crystal_system": "trigonal"
}

[19]
{
  "formula": "Rb2SnC",
  "functional": "PBE-GGA",
  "state": "optimized geometry",
  "lattice_angstrom": [[12.8232, 0.0000, 0.0000], [0.0000, 12.8232, 0.0000], [6.4116, 6.4116, 2.1728]],
  "species": ["C", "C", "Sn", "Sn", "Rb", "Rb", "Rb", "Rb"],
  "frac_coords": [[0.5000, 0.5000, 0.0000], [0.2500, 0.7500, 0.5000], [0.0000, 0.0000, 0.0000], [0.7500, 0.2500, 0.5000], [0.4120, 0.1250, 0.2500], [0.3380, 0.6250, 0.2500], [0.3750, 0.5880, 0.7500], [0.8750, 0.6620, 0.7500]],
  "formation_energy_ev_per_atom": 0.768,
  "crystal_system": "tetragonal"
}

[20]
{
  "formula": "RbSn2C2",
  "functional": "PBE-GGA",
  "state": "optimized geometry",
  "lattice_angstrom": [[-4.0068, -0.9181, 1.8654], [-1.2229, -2.2346, -3.7266], [-0.2569, -6.9238, 1.5021]],
  "species": ["C", "C", "Sn", "Sn", "Rb"],
  "frac_coords": [[0.2896, 0.2896, 0.4208], [0.7104, 0.7104, 0.5792], [0.7500, 0.2500, 0.5000], [0.2500, 0.7500, 0.5000], [0.0000, 0.0000, 0.0000]],
  "formation_energy_ev_per_atom": 1.149,
  "crystal_system": "tetragonal"
}

no.,E_tot (hartree per atom),total magnetic moment (μB per atom)
1,-0.1844,0.142
2,-0.1798,0.000
3,-0.0801,0.325
4,-0.1527,0.000
5,-0.0972,0.500
6,-0.1556,0.000
7,-0.1461,0.250
8,-0.1162,0.000
9,-0.1438,0.107
10,-0.1034,0.500
11,-0.1485,0.250
12,-0.1146,0.293
13,-0.1339,0.239
14,-0.1302,0.000
15,-0.0840,0.000
16,-0.1295,0.076
17,-0.1580,0.000
18,-0.1777,0.000
19,-0.1111,0.000
20,-0.1593,0.000